# FeCuNi2

A geometry-optimized FeCuNi2 structure (PBEsol, Alexandria).

As for the raw total energy: -6.288 eV/atom. Its space group is F-43m (216). The calculation puts the density of states at the Fermi level at 3.82 states/eV/cell. Its formation energy from the elements is 0.12 eV per atom.

The structure in POSCAR format:
```
FeCuNi2
1.0
3.947 0.000 0.000
1.973 3.418 0.000
1.973 1.139 3.222
Cu Ni Fe
1 2 1
Cartesian
3.947 2.279 1.611
5.920 3.418 2.417
0.000 0.000 0.000
1.973 1.139 0.806
```

# FeCuNi2

A geometry-optimized FeCuNi2 structure (PBEsol, Alexandria).

As for the raw total energy: -6.377 eV/atom. Its space group is Pmm2 (25). The calculation puts the density of states at the Fermi level at 3.08 states/eV/cell. Its formation energy from the elements is 0.03 eV per atom.

The structure in POSCAR format:
```
FeCuNi2
1.0
2.465 0.000 0.000
0.000 3.556 0.000
0.000 0.000 4.920
Ni Fe Cu
2 1 1
Cartesian
1.233 1.778 1.238
0.000 0.000 4.903
1.233 1.778 3.725
0.000 0.000 2.435
```

# FeCuNi2

A geometry-optimized FeCuNi2 structure (PBEsol, Alexandria).

As for the raw total energy: -6.375 eV/atom. Its space group is C2/m (12). The calculation puts the density of states at the Fermi level at 3.62 states/eV/cell. Its formation energy from the elements is 0.03 eV per atom.

The structure in POSCAR format:
```
FeCuNi2
1.0
2.473 0.000 0.000
-1.236 4.079 0.004
0.000 -0.746 4.271
Ni Cu Fe
2 1 1
Cartesian
1.236 1.472 3.198
0.000 1.862 1.077
1.236 0.000 0.000
0.000 -0.373 2.135
```

# Fe2CuNi

A geometry-optimized Fe2CuNi structure (PBEsol, Alexandria).

As for the raw total energy: -7.032 eV/atom. Its space group is P4/mmm (123). Its energy above the most stable polymorph in this dataset is 0.03 eV per formula unit. The calculation puts the density of states at the Fermi level at 2.83 states/eV/cell. Its formation energy from the elements is 0.07 eV per atom.

The structure in POSCAR format:
```
Fe2CuNi
1.0
3.486 0.000 0.000
0.000 3.486 0.000
0.000 0.000 3.623
Ni Cu Fe
1 1 2
Cartesian
1.743 1.743 1.811
0.000 0.000 1.811
0.000 1.743 0.000
1.743 0.000 0.000
```